Record 1
A relaxed structure of Sm3TmAl, computed with GGA-PBE.

POSCAR file:
```
Sm3TmAl
1.0
-0.807 -3.163 1.627
3.463 -4.735 -3.401
10.343 0.936 6.950
Sm Tm Al
6 2 2
Direct
0.142 0.716 0.447
0.364 0.273 0.022
0.037 0.926 0.196
0.858 0.284 0.553
0.963 0.074 0.804
0.636 0.727 0.978
0.220 0.560 0.747
0.780 0.440 0.253
0.554 0.892 0.623
0.446 0.108 0.377
```

Calculated values
Distance to the lowest polymorph of the same formula   0.000 eV/atom
SG   C2/m (12)
Calculated formation energy   -0.124 eV/atom
ρ   7.253 g/cm³

---

Record 2
A relaxed structure of Sm3TmAl2, computed with GGA-PBE.

POSCAR file:
```
Sm3TmAl2
1.0
-4.568 1.742 0.291
-1.603 -5.345 6.820
5.431 7.158 1.193
Sm Tm Al
6 2 4
Direct
0.500 0.250 0.000
0.500 0.750 0.000
0.825 0.075 0.649
0.175 0.425 0.351
0.175 0.925 0.351
0.825 0.575 0.649
0.000 0.500 0.000
0.000 0.000 0.000
0.346 0.346 0.693
0.654 0.154 0.307
0.346 0.846 0.693
0.654 0.654 0.307
```

Calculated values
Distance to the lowest polymorph of the same formula   0.074 eV/atom
SG   Cmmm (65)
Calculated formation energy   -0.197 eV/atom
ρ   6.884 g/cm³

---

Record 3
A relaxed structure of Sm12TmAl6, computed with GGA-PBE.

POSCAR file:
```
Sm12TmAl6
1.0
8.004 0.705 0.844
-0.517 8.018 0.844
-0.517 -0.602 8.040
Sm Tm Al
12 1 6
Direct
0.810 0.526 0.430
0.430 0.810 0.526
0.526 0.430 0.810
0.190 0.474 0.570
0.570 0.190 0.474
0.474 0.570 0.190
0.038 0.154 0.383
0.846 0.617 0.962
0.617 0.962 0.846
0.962 0.846 0.617
0.154 0.383 0.038
0.383 0.038 0.154
0.000 0.000 0.000
0.735 0.888 0.260
0.740 0.265 0.112
0.112 0.740 0.265
0.265 0.112 0.740
0.260 0.735 0.888
0.888 0.260 0.735
```

Calculated values
SG   R-3 (148)
Calculated formation energy   -0.133 eV/atom
ρ   6.734 g/cm³

---

Record 4
A relaxed structure of Sm3TmAl8, computed with GGA-PBE.

POSCAR file:
```
Sm3TmAl8
1.0
5.598 0.000 0.000
-2.799 4.848 0.000
0.000 0.000 9.207
Sm Tm Al
3 1 8
Direct
0.667 0.333 0.433
0.667 0.333 0.069
0.000 0.000 0.932
0.000 0.000 0.568
0.333 0.667 0.501
0.333 0.667 0.998
0.504 0.009 0.747
0.504 0.496 0.747
0.991 0.496 0.747
0.162 0.324 0.252
0.162 0.838 0.252
0.676 0.838 0.252
```

Calculated values
Distance to the lowest polymorph of the same formula   0.009 eV/atom
SG   P3m1 (156)
Calculated formation energy   -0.496 eV/atom
ρ   5.554 g/cm³

---

Record 5
A relaxed structure of Sm2TmAl9, computed with GGA-PBE.

POSCAR file:
```
Sm2TmAl9
1.0
-2.352 -4.904 -1.380
3.173 -4.606 -0.444
-1.073 -4.917 7.894
Sm Tm Al
2 1 9
Direct
0.858 0.858 0.426
0.142 0.142 0.574
0.000 0.000 0.000
0.665 0.665 0.006
0.335 0.335 0.994
0.500 0.500 0.500
0.414 0.414 0.248
0.925 0.414 0.248
0.414 0.925 0.248
0.586 0.586 0.752
0.586 0.075 0.752
0.075 0.586 0.752
```

Calculated values
SG   R-3m (166)
Calculated formation energy   -0.341 eV/atom
ρ   4.941 g/cm³

---

Record 6
A relaxed structure of SmTm2Al, computed with GGA-PBE.

POSCAR file:
```
SmTm2Al
1.0
5.287 0.000 0.000
0.000 6.814 0.006
0.000 -3.396 5.908
Sm Tm Al
2 4 2
Direct
0.500 0.649 0.824
0.500 0.176 0.351
0.500 0.174 0.826
0.000 0.350 0.173
0.000 0.827 0.650
0.000 0.827 0.173
0.500 0.668 0.332
0.000 0.329 0.671
```

Calculated values
Distance to the lowest polymorph of the same formula   0.011 eV/atom
SG   Amm2 (38)
Calculated formation energy   -0.190 eV/atom
ρ   8.035 g/cm³

---

Record 7
A relaxed structure of Sm2TmAl6, computed with GGA-PBE.

POSCAR file:
```
Sm2TmAl6
1.0
4.421 0.000 0.000
0.000 7.129 0.000
-2.210 -3.565 6.840
Sm Tm Al
2 1 6
Direct
0.876 0.876 0.753
0.124 0.124 0.247
0.000 0.500 0.000
0.684 0.875 0.368
0.316 0.125 0.632
0.316 0.508 0.632
0.500 0.194 0.000
0.500 0.806 0.000
0.684 0.492 0.368
```

Calculated values
Distance to the lowest polymorph of the same formula   0.278 eV/atom
SG   Immm (71)
Calculated formation energy   -0.198 eV/atom
ρ   4.864 g/cm³

---

Record 8
A relaxed structure of Sm3TmAl, computed with GGA-PBE.

POSCAR file:
```
Sm3TmAl
1.0
-3.177 1.324 3.142
4.443 -1.168 4.985
3.295 9.560 -0.698
Sm Tm Al
6 2 2
Direct
0.750 0.750 0.065
0.250 0.250 0.935
0.750 0.992 0.749
0.750 0.508 0.749
0.250 0.008 0.251
0.250 0.492 0.251
0.750 0.750 0.443
0.250 0.250 0.557
0.750 0.250 0.126
0.250 0.750 0.874
```

Calculated values
Distance to the lowest polymorph of the same formula   0.241 eV/atom
SG   Pmmn (59)
Calculated formation energy   0.116 eV/atom
ρ   6.710 g/cm³

---

Record 9
A relaxed structure of SmTm5Al3, computed with GGA-PBE.

POSCAR file:
```
SmTm5Al3
1.0
6.581 0.000 0.000
0.000 9.005 0.000
0.000 -4.502 7.798
Sm Tm Al
2 10 6
Direct
0.000 0.000 0.000
0.500 0.000 0.000
0.000 0.667 0.334
0.500 0.333 0.666
0.000 0.333 0.666
0.500 0.667 0.334
0.750 0.667 0.667
0.750 0.000 0.333
0.750 0.333 0.000
0.250 0.333 0.333
0.250 0.000 0.667
0.250 0.667 0.000
0.750 0.338 0.338
0.750 0.000 0.662
0.750 0.662 0.000
0.250 0.662 0.662
0.250 0.000 0.338
0.250 0.338 0.000
```

Calculated values
SG   P6_3/mcm (193)
Calculated formation energy   -0.268 eV/atom
ρ   7.732 g/cm³

---

Record 10
A relaxed structure of SmTm2Al, computed with GGA-PBE.

POSCAR file:
```
SmTm2Al
1.0
-3.217 0.506 1.388
-0.438 -0.039 3.513
0.541 10.425 1.967
Sm Tm Al
1 2 1
Direct
0.500 0.500 0.499
0.072 0.072 0.784
0.261 0.261 0.216
0.666 0.666 0.001
```

Calculated values
Distance to the lowest polymorph of the same formula   0.130 eV/atom
SG   R3m (160)
Calculated formation energy   -0.071 eV/atom
ρ   7.560 g/cm³

---

Record 11
A relaxed structure of Sm2TmAl3, computed with GGA-PBE.

POSCAR file:
```
Sm2TmAl3
1.0
-1.196 0.819 -3.316
3.155 -1.080 -1.405
-3.981 -10.218 -1.087
Sm Tm Al
2 1 3
Direct
0.500 0.500 0.828
0.500 0.500 0.172
0.500 0.500 0.500
0.000 0.000 0.000
0.000 0.000 0.654
0.000 0.000 0.346
```

Calculated values
Distance to the lowest polymorph of the same formula   0.000 eV/atom
SG   P4/mmm (123)
Calculated formation energy   -0.381 eV/atom
ρ   6.335 g/cm³

---

Record 12
A relaxed structure of Sm8Tm2Al, computed with GGA-PBE.

POSCAR file:
```
Sm8Tm2Al
1.0
5.496 0.000 0.000
0.000 7.510 -0.239
-2.748 -3.475 8.766
Sm Tm Al
8 2 1
Direct
0.367 0.599 0.734
0.633 0.866 0.267
0.819 0.819 0.638
0.000 0.251 0.000
0.181 0.181 0.362
0.367 0.134 0.733
0.633 0.401 0.266
0.000 0.749 0.000
0.807 0.307 0.615
0.193 0.693 0.385
0.500 0.000 0.000
```

Calculated values
SG   Immm (71)
Calculated formation energy   0.026 eV/atom
ρ   7.286 g/cm³

---

Record 13
A relaxed structure of Sm2TmAl6, computed with GGA-PBE.

POSCAR file:
```
Sm2TmAl6
1.0
-0.101 -2.757 2.216
-6.388 -2.810 -3.785
7.272 -2.153 -2.349
Sm Tm Al
2 1 6
Direct
0.000 0.333 0.667
0.000 0.667 0.333
0.000 0.000 0.000
0.500 0.331 0.331
0.500 0.669 0.669
0.500 0.000 0.669
0.500 0.669 0.000
0.500 0.331 0.000
0.500 0.000 0.331
```

Calculated values
Distance to the lowest polymorph of the same formula   0.000 eV/atom
SG   P6/mmm (191)
Calculated formation energy   -0.477 eV/atom
ρ   5.430 g/cm³

---

Record 14
A relaxed structure of Sm6Tm12Al, computed with GGA-PBE.

POSCAR file:
```
Sm6Tm12Al
1.0
8.361 0.461 0.552
-0.812 8.334 0.552
-0.812 -0.946 8.299
Sm Tm Al
6 12 1
Direct
0.727 0.890 0.264
0.736 0.273 0.110
0.110 0.736 0.273
0.273 0.110 0.736
0.264 0.727 0.890
0.890 0.264 0.727
0.790 0.526 0.464
0.464 0.790 0.526
0.526 0.464 0.790
0.210 0.474 0.536
0.536 0.210 0.474
0.474 0.536 0.210
0.049 0.145 0.365
0.855 0.635 0.951
0.635 0.951 0.855
0.951 0.855 0.635
0.145 0.365 0.049
0.365 0.049 0.145
0.000 0.000 0.000
```

Calculated values
SG   R-3 (148)
Calculated formation energy   0.106 eV/atom
ρ   8.325 g/cm³

---

Record 15
A relaxed structure of Sm4Tm2Al, computed with GGA-PBE.

POSCAR file:
```
Sm4Tm2Al
1.0
-2.873 0.094 2.211
0.435 -0.527 3.561
1.706 18.646 4.400
Sm Tm Al
4 2 1
Direct
0.707 0.707 0.880
0.906 0.906 0.281
0.293 0.293 0.120
0.094 0.094 0.719
0.809 0.809 0.572
0.191 0.191 0.428
0.000 0.000 0.000
```

Calculated values
SG   R-3m (166)
Calculated formation energy   -0.024 eV/atom
ρ   7.370 g/cm³

---

Record 16
A relaxed structure of Sm4TmAl5, computed with GGA-PBE.

POSCAR file:
```
Sm4TmAl5
1.0
-1.922 2.740 1.451
0.392 -1.478 3.312
15.460 9.556 2.436
Sm Tm Al
4 1 5
Direct
0.000 0.000 0.195
0.000 0.000 0.398
0.000 0.000 0.602
0.000 0.000 0.805
0.000 0.000 0.000
0.500 0.500 0.091
0.500 0.500 0.296
0.500 0.500 0.500
0.500 0.500 0.704
0.500 0.500 0.909
```

Calculated values
SG   P4/mmm (123)
Calculated formation energy   -0.377 eV/atom
ρ   6.161 g/cm³

---

Record 17
A relaxed structure of SmTm6Al, computed with GGA-PBE.

POSCAR file:
```
SmTm6Al
1.0
6.326 -0.696 -1.261
-2.999 5.613 -1.261
-1.930 -2.853 8.385
Sm Tm Al
1 6 1
Direct
0.500 0.500 0.500
0.186 0.186 0.758
0.662 0.236 0.241
0.814 0.814 0.242
0.764 0.338 0.759
0.338 0.764 0.759
0.236 0.662 0.241
0.000 0.000 0.000
```

Calculated values
SG   C2/m (12)
Calculated formation energy   0.112 eV/atom
ρ   8.550 g/cm³

---

Record 18
A relaxed structure of Sm2TmAl, computed with GGA-PBE.

POSCAR file:
```
Sm2TmAl
1.0
-4.105 3.494 -0.045
-4.055 -0.559 3.508
-0.580 3.529 4.034
Tm Al Sm
1 1 2
Direct
0.000 0.000 0.000
0.500 0.500 0.500
0.250 0.250 0.250
0.750 0.750 0.750
```

Calculated values
Distance to the lowest polymorph of the same formula   0.112 eV/atom
SG   Fm-3m (225)
Calculated formation energy   -0.072 eV/atom
ρ   7.444 g/cm³

---

Record 19
A relaxed structure of SmTm7Al5, computed with GGA-PBE.

POSCAR file:
```
SmTm7Al5
1.0
-0.303 5.702 -1.944
-4.293 4.613 4.839
5.706 4.560 3.127
Sm Tm Al
1 7 5
Direct
0.013 0.987 0.987
0.663 0.337 0.337
0.342 0.658 0.658
0.992 0.347 0.669
0.992 0.669 0.347
0.270 0.230 0.230
0.506 0.799 0.189
0.506 0.189 0.799
0.494 0.996 0.514
0.997 0.996 0.514
0.494 0.514 0.996
0.997 0.514 0.996
0.737 0.763 0.763
```

Calculated values
SG   Imm2 (44)
Calculated formation energy   -0.232 eV/atom
ρ   7.487 g/cm³

---

Record 20
A relaxed structure of SmTm2Al, computed with GGA-PBE.

POSCAR file:
```
SmTm2Al
1.0
-0.132 1.734 -4.420
-3.384 -3.136 -1.129
-3.331 3.117 1.323
Tm Al Sm
2 1 1
Direct
0.000 0.000 0.500
0.000 0.500 0.000
0.500 0.000 0.000
0.500 0.500 0.500
```

Calculated values
Distance to the lowest polymorph of the same formula   0.019 eV/atom
SG   P4/mmm (123)
Calculated formation energy   -0.181 eV/atom
ρ   7.983 g/cm³

---

Record 21
A relaxed structure of SmTm12Al3, computed with GGA-PBE.

POSCAR file:
```
SmTm12Al3
1.0
-1.096 0.045 -4.609
4.171 -2.006 -1.011
-7.986 -17.480 1.729
Sm Tm Al
1 12 3
Direct
0.000 0.000 0.000
0.500 0.500 0.000
0.500 0.500 0.258
0.500 0.500 0.500
0.500 0.500 0.742
0.500 0.000 0.136
0.500 0.000 0.379
0.500 0.000 0.621
0.500 0.000 0.864
0.000 0.500 0.136
0.000 0.500 0.379
0.000 0.500 0.621
0.000 0.500 0.864
0.000 0.000 0.258
0.000 0.000 0.500
0.000 0.000 0.742
```

Calculated values
SG   P4/mmm (123)
Calculated formation energy   -0.127 eV/atom
ρ   8.660 g/cm³

---

Record 22
A relaxed structure of Sm3TmAl8, computed with GGA-PBE.

POSCAR file:
```
Sm3TmAl8
1.0
-0.748 0.391 5.537
-5.159 -0.309 2.157
-1.105 -9.090 3.325
Sm Tm Al
3 1 8
Direct
0.375 0.375 0.875
0.000 0.000 0.001
0.500 0.500 0.500
0.875 0.875 0.374
0.937 0.437 0.190
0.439 0.938 0.685
0.437 0.437 0.190
0.938 0.938 0.685
0.188 0.188 0.437
0.687 0.687 0.938
0.437 0.937 0.190
0.938 0.439 0.685
```

Calculated values
Distance to the lowest polymorph of the same formula   0.000 eV/atom
SG   R3m (160)
Calculated formation energy   -0.505 eV/atom
ρ   5.560 g/cm³